The following is a DFT calculation (GGA-PBE) of an optimized crystal structure of Ac3Hg2Ir.

Unit cell a=6.3161 b=8.5288 c=8.5866 alpha=104.35 beta=111.58 gamma=90.00
With the nearest neighbours (Å) after each atom.
Sites, in units of the cell vectors:
Hg 0.6887 0.0946 0.3776  6 Ac 3.27-3.61
Hg 0.3113 0.9054 0.6224  6 Ac 3.27-3.61
Hg 0.6889 0.5946 0.3776  6 Ac 3.27-3.61
Ac 0.1326 0.5660 0.2649  2 Ir 2.95, 2 Hg 3.27-3.28
Ir 0.0000 0.7500 0.0000  6 Ac 2.95-3.16
Ir 0.0000 0.2500 0.0000  6 Ac 2.95-3.16
Ac 0.8674 0.4340 0.7351  2 Ir 2.95, 2 Hg 3.27-3.28
Ac 0.5000 0.7500 0.0000  2 Ir 3.16
Ac 0.1324 0.0660 0.2649  2 Ir 2.95, 2 Hg 3.27-3.28
Ac 0.5000 0.2500 0.0000  2 Ir 3.16
Hg 0.3111 0.4054 0.6224  6 Ac 3.27-3.61
Ac 0.8676 0.9340 0.7351  2 Ir 2.95, 2 Hg 3.27-3.28

The calculation puts the offset from the most stable computed form at 0.018 eV per atom. For the formation enthalpy at 0 K, the calculation gives -0.523 eV/atom. The final energy comes out at -49.86 eV per cell. Its space-group type is No. 71. The density of states at the Fermi level comes out at 7.09 states/eV per cell. The calculation puts the total moment at 0.000 μB/atom.